## AcTb2Tm4 (PBE)

Data for a geometry-optimized AcTb2Tm4 structure.

a b c (Å): 7.1151 8.6481 8.8441
angles (deg): 114.62 101.53 101.89
With the nearest neighbours (Å) after each atom.
Sites, in units of the cell vectors:
Ac: 0.0000 0.0000 0.0000  9 Tm 3.42-3.78, 3 Tb 3.59-3.71
Ac: 0.3073 0.6754 0.5625  5 Tb 3.56-3.95, 8 Tm 3.62-3.88
Tb: 0.2181 0.1454 0.7151  9 Tm 3.31-3.71, 1 Ac 3.71
Tb: 0.5280 0.8336 0.2773  7 Tm 3.17-3.55
Tb: 0.7997 0.6664 0.5375  6 Tm 3.51-3.92, 2 Tb 3.54-3.64, 3 Ac 3.56-3.64
Tb: 0.8835 0.4120 0.1394  7 Tm 3.17-3.52, 1 Tb 3.54
Tm: 0.0296 0.8351 0.2918  3 Tb 3.17-3.54, 1 Ac 3.42, 2 Tm 3.54
Tm: 0.1091 0.5618 0.8861  3 Tb 3.50-3.60, 6 Tm 3.53-3.66, 2 Ac 3.78-3.81
Tm: 0.3908 0.4139 0.1455  4 Tb 3.17-3.52, 3 Tm 3.38-3.55
Tm: 0.4191 0.2374 0.4231  7 Tm 3.38-3.62, 3 Tb 3.47-3.71, 2 Ac 3.70-3.77
Tm: 0.5100 0.0208 0.0179  2 Tb 3.31-3.43, 4 Tm 3.45-3.68, 3 Ac 3.56-3.62
Tm: 0.6123 0.5623 0.8828  4 Tb 3.51-3.92, 7 Tm 3.53-3.91, 2 Ac 3.78-3.80
Tm: 0.7083 0.1324 0.7089  4 Tb 3.33-3.59, 5 Tm 3.47-3.68, 1 Ac 3.68
Tm: 0.9115 0.2403 0.4241  4 Tb 3.41-3.70, 6 Tm 3.49-3.62, 2 Ac 3.71-3.74

Values from the calculation:
The value obtained for the formation energy is 0.0539 eV per atom. As for the space group: P1. The volume comes out at 32.7 A^3/atom.

## Ac8Tb3Tm2 (PBE)

Data for a geometry-optimized Ac8Tb3Tm2 structure.

a b c (Å): 10.7543 10.7543 6.2855
angles (deg): 97.00 97.00 47.06
With the nearest neighbours (Å) after each atom.
Sites, in units of the cell vectors:
Ac: 0.0407 0.0407 0.2708  2 Tb 3.32, 1 Tm 3.41, 2 Ac 3.48-3.57
Ac: 0.0766 0.6331 0.2780  2 Tb 3.66-3.85, 3 Tm 3.68-3.98, 5 Ac 3.79-4.03
Ac: 0.3252 0.3252 0.7739  2 Tm 3.81-3.88, 3 Tb 3.85-4.05, 6 Ac 3.95-4.03
Ac: 0.3669 0.9234 0.7220  2 Tb 3.66-3.85, 3 Tm 3.68-3.98, 5 Ac 3.79-4.03
Ac: 0.6331 0.0766 0.2780  2 Tb 3.66-3.85, 3 Tm 3.68-3.98, 5 Ac 3.79-4.03
Ac: 0.6748 0.6748 0.2261  2 Tm 3.81-3.88, 3 Tb 3.85-4.05, 6 Ac 3.95-4.03
Ac: 0.9234 0.3669 0.7220  2 Tb 3.66-3.85, 3 Tm 3.68-3.98, 5 Ac 3.79-4.03
Ac: 0.9593 0.9593 0.7292  2 Tb 3.32, 1 Tm 3.41, 2 Ac 3.48-3.57
Tb: 0.3265 0.6735 0.0000  1 Tb 2.98, 2 Ac 3.32
Tb: 0.5000 0.5000 0.5000  4 Tb 3.48, 4 Ac 3.85
Tb: 0.6735 0.3265 0.0000  1 Tb 2.98, 2 Ac 3.32
Tm: 0.2117 0.2117 0.2338  6 Ac 3.41-3.82
Tm: 0.7883 0.7883 0.7662  6 Ac 3.41-3.82

Values from the calculation:
The value obtained for the formation energy is 0.2187 eV per atom. As for the space group: C2/m. The volume comes out at 40.6 A^3/atom.

## Ac2TbTm (PBE)

Data for a geometry-optimized Ac2TbTm structure.

a b c (Å): 5.4539 5.4539 5.0191
angles (deg): 90.00 90.00 90.00
With the nearest neighbours (Å) after each atom.
Sites, in units of the cell vectors:
Ac: 0.0000 0.5000 0.0000  4 Tb 3.71, 4 Tm 3.71, 4 Ac 3.86
Ac: 0.5000 0.0000 0.0000  4 Tb 3.71, 4 Tm 3.71, 4 Ac 3.86
Tb: 0.0000 0.0000 0.5000  8 Ac 3.71, 4 Tm 3.86
Tm: 0.5000 0.5000 0.5000  8 Ac 3.71, 4 Tb 3.86

Values from the calculation:
The value obtained for the formation energy is 0.0529 eV per atom. As for the space group: P4/mmm. The volume comes out at 37.3 A^3/atom.

## AcTb6Tm5 (PBE)

Data for a geometry-optimized AcTb6Tm5 structure.

a b c (Å): 6.1711 6.1711 11.8175
angles (deg): 94.98 94.98 119.98
With the nearest neighbours (Å) after each atom.
Sites, in units of the cell vectors:
Ac: 0.0000 0.0000 0.0000  6 Tm 3.56, 6 Tb 3.63
Tb: 0.0851 0.4218 0.2553  5 Tm 3.50-3.61, 6 Tb 3.54-3.60, 1 Ac 3.63
Tb: 0.2516 0.2516 0.7443  5 Tm 3.50-3.61, 6 Tb 3.54-3.60, 1 Ac 3.63
Tb: 0.4218 0.0851 0.2553  5 Tm 3.50-3.61, 6 Tb 3.54-3.60, 1 Ac 3.63
Tb: 0.5782 0.9149 0.7447  5 Tm 3.50-3.61, 6 Tb 3.54-3.60, 1 Ac 3.63
Tb: 0.7484 0.7484 0.2557  5 Tm 3.50-3.61, 6 Tb 3.54-3.60, 1 Ac 3.63
Tb: 0.9149 0.5782 0.7447  5 Tm 3.50-3.61, 6 Tb 3.54-3.60, 1 Ac 3.63
Tm: 0.1672 0.8328 0.5000  6 Tb 3.50-3.52, 6 Tm 3.56-3.57
Tm: 0.3334 0.6666 0.0000  3 Tm 3.56, 3 Ac 3.56, 6 Tb 3.61
Tm: 0.5000 0.5000 0.5000  6 Tb 3.50-3.52, 6 Tm 3.56-3.57
Tm: 0.6666 0.3334 0.0000  3 Tm 3.56, 3 Ac 3.56, 6 Tb 3.61
Tm: 0.8328 0.1672 0.5000  6 Tb 3.50-3.52, 6 Tm 3.56-3.57

Values from the calculation:
The value obtained for the formation energy is 0.0364 eV per atom. As for the space group: C2/m. The volume comes out at 32.0 A^3/atom.

## AcTb4Tm (PBE)

Data for a geometry-optimized AcTb4Tm structure.

a b c (Å): 8.5763 8.5763 6.6921
angles (deg): 109.64 109.64 102.62
With the nearest neighbours (Å) after each atom.
Sites, in units of the cell vectors:
Ac: 0.0744 0.9256 0.7500  3 Tm 3.57-3.70, 8 Tb 3.63-3.95, 2 Ac 3.89
Ac: 0.9256 0.0744 0.2500  3 Tm 3.57-3.70, 8 Tb 3.63-3.95, 2 Ac 3.89
Tb: 0.1497 0.5182 0.7536  2 Tm 3.25-3.57, 5 Tb 3.36-3.60
Tb: 0.2604 0.4184 0.2526  7 Tb 3.46-3.88, 2 Tm 3.52-3.70, 1 Ac 3.63
Tb: 0.4184 0.2604 0.7526  7 Tb 3.46-3.88, 2 Tm 3.52-3.70, 1 Ac 3.63
Tb: 0.4818 0.8503 0.7464  2 Tm 3.25-3.57, 5 Tb 3.36-3.60
Tb: 0.5182 0.1497 0.2536  2 Tm 3.25-3.57, 5 Tb 3.36-3.60
Tb: 0.5816 0.7396 0.2474  7 Tb 3.46-3.88, 2 Tm 3.52-3.70, 1 Ac 3.63
Tb: 0.7396 0.5816 0.7474  7 Tb 3.46-3.88, 2 Tm 3.52-3.70, 1 Ac 3.63
Tb: 0.8503 0.4818 0.2464  2 Tm 3.25-3.57, 5 Tb 3.36-3.60
Tm: 0.1919 0.8081 0.2500  6 Tb 3.25-3.57, 1 Ac 3.57
Tm: 0.8081 0.1919 0.7500  6 Tb 3.25-3.57, 1 Ac 3.57

Values from the calculation:
The value obtained for the formation energy is 0.0551 eV per atom. As for the space group: C2/c. The volume comes out at 33.7 A^3/atom.

## Ac6Tb2Tm (PBE)

Data for a geometry-optimized Ac6Tb2Tm structure.

a b c (Å): 6.6494 10.1349 12.7356
angles (deg): 90.00 121.43 90.00
With the nearest neighbours (Å) after each atom.
Sites, in units of the cell vectors:
Ac: 0.0575 0.1168 0.2062  2 Tb 3.47-3.51, 1 Tm 3.55
Ac: 0.0575 0.3832 0.7062  2 Tb 3.47-3.51, 1 Tm 3.55
Ac: 0.2940 0.7139 0.6460  3 Tb 3.57-3.95, 5 Ac 3.82-3.95
Ac: 0.2940 0.7861 0.1460  3 Tb 3.57-3.95, 5 Ac 3.82-3.95
Ac: 0.3699 0.1556 0.0191  1 Tm 3.63, 7 Ac 3.75-3.93, 1 Tb 3.81
Ac: 0.3699 0.3444 0.5191  1 Tm 3.63, 7 Ac 3.75-3.93, 1 Tb 3.81
Ac: 0.6301 0.6556 0.4809  1 Tm 3.63, 7 Ac 3.75-3.93, 1 Tb 3.81
Ac: 0.6301 0.8444 0.9809  1 Tm 3.63, 7 Ac 3.75-3.93, 1 Tb 3.81
Ac: 0.7060 0.2139 0.8540  3 Tb 3.57-3.95, 5 Ac 3.82-3.95
Ac: 0.7060 0.2861 0.3540  3 Tb 3.57-3.95, 5 Ac 3.82-3.95
Ac: 0.9425 0.6168 0.2938  2 Tb 3.47-3.51, 1 Tm 3.55
Ac: 0.9425 0.8832 0.7938  2 Tb 3.47-3.51, 1 Tm 3.55
Tb: 0.1533 0.0672 0.6373  1 Tb 3.29, 3 Ac 3.47-3.57, 1 Tm 3.61
Tb: 0.1533 0.4328 0.1373  1 Tb 3.29, 3 Ac 3.47-3.57, 1 Tm 3.61
Tb: 0.8466 0.5672 0.8627  1 Tb 3.29, 3 Ac 3.47-3.57, 1 Tm 3.61
Tb: 0.8466 0.9328 0.3627  1 Tb 3.29, 3 Ac 3.47-3.57, 1 Tm 3.61
Tm: 0.5000 0.0000 0.5000  4 Ac 3.55-3.63, 4 Tb 3.61-3.80
Tm: 0.5000 0.5000 0.0000  4 Ac 3.55-3.63, 4 Tb 3.61-3.80

Values from the calculation:
The value obtained for the formation energy is 0.1530 eV per atom. As for the space group: P2_1/c. The volume comes out at 40.7 A^3/atom.

## Ac2TbTm (PBE)

Data for a geometry-optimized Ac2TbTm structure.

a b c (Å): 3.8877 3.8877 9.8768
angles (deg): 90.00 90.00 90.00
With the nearest neighbours (Å) after each atom.
Sites, in units of the cell vectors:
Ac: 0.0000 0.0000 0.2467  4 Tm 3.67, 4 Tb 3.72, 4 Ac 3.89
Ac: 0.0000 0.0000 0.7533  4 Tm 3.67, 4 Tb 3.72, 4 Ac 3.89
Tb: 0.5000 0.5000 0.5000  8 Ac 3.72, 4 Tb 3.89
Tm: 0.5000 0.5000 0.0000  8 Ac 3.67, 4 Tm 3.89

Values from the calculation:
The value obtained for the formation energy is 0.0549 eV per atom. As for the space group: P4/mmm. The volume comes out at 37.3 A^3/atom.

## AcTb3Tm6 (PBE)

Data for a geometry-optimized AcTb3Tm6 structure.

a b c (Å): 9.0915 9.0915 8.8730
angles (deg): 90.00 90.00 117.24
With the nearest neighbours (Å) after each atom.
Sites, in units of the cell vectors:
Ac: 0.2222 0.7778 0.5000  6 Tm 3.38-3.61, 1 Tb 3.67
Ac: 0.7778 0.2222 0.0000  6 Tm 3.38-3.61, 1 Tb 3.67
Tb: 0.0301 0.3129 0.4202  2 Tb 3.25-3.43, 6 Tm 3.31-3.62
Tb: 0.3129 0.0301 0.9202  2 Tb 3.25-3.43, 6 Tm 3.31-3.62
Tb: 0.4518 0.5482 0.4023  7 Tm 3.30-3.66, 2 Tb 3.43, 1 Ac 3.67
Tb: 0.5482 0.4518 0.9023  7 Tm 3.30-3.66, 2 Tb 3.43, 1 Ac 3.67
Tb: 0.6871 0.9699 0.4202  2 Tb 3.25-3.43, 6 Tm 3.31-3.62
Tb: 0.9699 0.6871 0.9202  2 Tb 3.25-3.43, 6 Tm 3.31-3.62
Tm: 0.0484 0.9516 0.2709  4 Tm 3.29-3.41, 1 Ac 3.38, 2 Tb 3.62
Tm: 0.1768 0.4681 0.7639  4 Tm 3.28-3.55, 3 Tb 3.37-3.66, 1 Ac 3.54
Tm: 0.1958 0.3065 0.0900  4 Tm 3.28-3.55, 4 Tb 3.30-3.64, 1 Ac 3.61
Tm: 0.2915 0.7085 0.1218  3 Tb 3.36-3.52, 4 Tm 3.36-3.72, 1 Ac 3.52
Tm: 0.3065 0.1958 0.5900  4 Tm 3.28-3.55, 4 Tb 3.30-3.64, 1 Ac 3.61
Tm: 0.4681 0.1768 0.2639  4 Tm 3.28-3.55, 3 Tb 3.37-3.66, 1 Ac 3.54
Tm: 0.5319 0.8232 0.7639  4 Tm 3.28-3.55, 3 Tb 3.37-3.66, 1 Ac 3.54
Tm: 0.6935 0.8042 0.0900  4 Tm 3.28-3.55, 4 Tb 3.30-3.64, 1 Ac 3.61
Tm: 0.7085 0.2915 0.6218  3 Tb 3.36-3.52, 4 Tm 3.36-3.72, 1 Ac 3.52
Tm: 0.8042 0.6935 0.5900  4 Tm 3.28-3.55, 4 Tb 3.30-3.64, 1 Ac 3.61
Tm: 0.8232 0.5319 0.2639  4 Tm 3.28-3.55, 3 Tb 3.37-3.66, 1 Ac 3.54
Tm: 0.9516 0.0484 0.7709  4 Tm 3.29-3.41, 1 Ac 3.38, 2 Tb 3.62

Values from the calculation:
The value obtained for the formation energy is 0.1527 eV per atom. As for the space group: Cmc2_1. The volume comes out at 32.6 A^3/atom.

In the order shown, the computed total DFT energy (no corrections) values come out to -4.411; -4.066; -4.277; -4.484; -4.462; -4.112; -4.275; -4.330 eV per atom.